La4PmMg (PBE, optimized geometry); V = 206.95 Å³/cell; N(E_F) = 8.3 states/eV/cell; energy = -4.371 eV per atom
1.0
3.768 0.000 0.000
0.000 3.768 0.000
0.000 0.000 14.573
La Pm Mg
4 1 1
Direct
0.000 0.000 0.151
0.000 0.000 0.849
0.500 0.500 0.325
0.500 0.500 0.675
0.000 0.000 0.500
0.500 0.500 0.000



La3PmMg (PBE, optimized geometry); V = 342.87 Å³/cell; N(E_F) = 14.8 states/eV/cell; energy = -4.242 eV per atom
1.0
10.050 -1.913 0.000
10.050 1.913 0.000
-2.206 0.000 8.916
La Pm Mg
6 2 2
Direct
0.003 0.003 0.266
0.188 0.188 0.372
0.205 0.205 0.831
0.795 0.795 0.169
0.812 0.812 0.628
0.997 0.997 0.734
0.402 0.402 0.961
0.598 0.598 0.039
0.403 0.403 0.438
0.597 0.597 0.562



| no. | DFT formation energy (eV/atom) | energy above the lowest structure with this stoichiometry (meV/atom) | spin magnetization (μB/atom) |
| --- | --- | --- | --- |
| 1 | -0.0283 | 0.0 | 0.00 |
| 2 | -0.0167 | 0.0 | 0.00 |